# 1
This record from the Alexandria database describes crystalline LaMg2Pt2 at its relaxed geometry. The functional is PBE.

Computed properties:
Calculated formation energy: -0.769 eV/atom
Space group: P4/mbm

abc: 8.0660 8.0660 2.9795
angles: 90.00 90.00 90.00
With the nearest neighbours (Å) after each atom.
Fractional positions:
La: 0.0000 0.0000 0.0000  2 La 2.98, 4 Mg 3.21, 8 Pt 3.33
La: 0.5000 0.5000 0.0000  2 La 2.98, 4 Mg 3.21, 8 Pt 3.33
Mg: 0.1211 0.3789 0.0000  3 Mg 2.76-2.98, 6 Pt 2.77-2.84
Mg: 0.3789 0.8789 0.0000  3 Mg 2.76-2.98, 6 Pt 2.77-2.84
Mg: 0.6211 0.1211 0.0000  3 Mg 2.76-2.98, 6 Pt 2.77-2.84
Mg: 0.8789 0.6211 0.0000  3 Mg 2.76-2.98, 6 Pt 2.77-2.84
Pt: 0.1742 0.6742 0.5000  6 Mg 2.77-2.84, 2 Pt 2.98
Pt: 0.3258 0.1742 0.5000  6 Mg 2.77-2.84, 2 Pt 2.98
Pt: 0.6742 0.8258 0.5000  6 Mg 2.77-2.84, 2 Pt 2.98
Pt: 0.8258 0.3258 0.5000  6 Mg 2.77-2.84, 2 Pt 2.98

***

# 2
This record from the Alexandria database describes crystalline La2MgPt at its relaxed geometry. The functional is PBE.

Computed properties:
Calculated formation energy: -0.420 eV/atom
Space group: I-4m2

abc: 6.0876 6.0876 6.0876
angles: 136.92 136.92 62.56
With the nearest neighbours (Å) after each atom.
Fractional positions:
La: 0.0000 0.0000 0.0000  4 Pt 3.16, 4 La 3.43, 4 Mg 3.43
La: 0.7500 0.2500 0.5000  4 Mg 3.16, 4 La 3.43, 4 Pt 3.43
Mg: 0.2500 0.7500 0.5000  8 La 3.16-3.43, 4 Pt 3.43
Pt: 0.5000 0.5000 0.0000  8 La 3.16-3.43, 4 Mg 3.43

***

# 3
This record from the Alexandria database describes crystalline La2MgPt2 at its relaxed geometry. The functional is PBE.

Computed properties:
Calculated formation energy: -0.841 eV/atom
Space group: I4/mmm

abc: 5.7583 5.7583 5.7583
angles: 120.11 120.11 89.81
With the nearest neighbours (Å) after each atom.
Fractional positions:
La: 0.2500 0.7500 0.5000  4 Pt 2.96
La: 0.7500 0.2500 0.5000  4 Pt 2.96
Mg: 0.0000 0.0000 0.0000  2 Pt 2.73
Pt: 0.3345 0.3345 0.0000  1 Pt 2.70, 1 Mg 2.73, 4 La 2.96
Pt: 0.6655 0.6655 0.0000  1 Pt 2.70, 1 Mg 2.73, 4 La 2.96

***

# 4
This record from the Alexandria database describes crystalline LaMg2Pt at its relaxed geometry. The functional is PBE.

Computed properties:
Calculated formation energy: -0.290 eV/atom
Space group: C2/m

abc: 6.5852 6.5852 3.7778
angles: 106.46 106.46 126.95
With the nearest neighbours (Å) after each atom.
Fractional positions:
La: 0.0000 0.0000 0.0000  4 Pt 2.94-2.97
Mg: 0.0000 0.5000 0.5000  4 Mg 2.94-2.97
Mg: 0.5000 0.0000 0.5000  4 Mg 2.94-2.97
Pt: 0.5000 0.5000 0.0000  4 La 2.94-2.97

***

Number 1: total moment 0.0 Bohr magnetons per cell, total energy -4.81 eV/atom, volume 193.8 Å³ per cell. Number 2: total moment 0.0 Bohr magnetons per cell, total energy -4.79 eV/atom, volume 104.0 Å³ per cell. Number 3: total moment 0.0 Bohr magnetons per cell, total energy -5.55 eV/atom, volume 134.8 Å³ per cell. Number 4: total moment 0.0 Bohr magnetons per cell, total energy -3.83 eV/atom, volume 101.2 Å³ per cell.